Record 1
Here is an optimized crystal structure of Na3ZnPCO7 from Alexandria. Energies are from PBE-GGA.

a = 5.196 Å, b = 6.711 Å, c = 9.020 Å
α = 90.00°, β = 90.03°, γ = 90.00°
Atoms (fractional coordinates):
Na  0.243  0.250  0.089
Na  0.249  0.501  0.740
Na  0.249  0.999  0.740
Na  0.751  0.001  0.260
Na  0.751  0.499  0.260
Na  0.757  0.750  0.911
Zn  0.225  0.750  0.365
Zn  0.775  0.250  0.635
P  0.286  0.250  0.416
P  0.714  0.750  0.584
C  0.256  0.750  0.066
C  0.744  0.250  0.934
O  0.022  0.750  0.116
O  0.156  0.250  0.571
O  0.209  0.065  0.322
O  0.209  0.435  0.322
O  0.302  0.750  0.924
O  0.414  0.750  0.561
O  0.447  0.750  0.160
O  0.553  0.250  0.840
O  0.586  0.250  0.439
O  0.698  0.250  0.076
O  0.791  0.565  0.678
O  0.791  0.935  0.678
O  0.844  0.750  0.429
O  0.978  0.250  0.884

Values from the calculation:
SG = P2_1/m, No. 11
density of states at the Fermi level = 0.00 states/eV per cell
raw formation energy = -1.92 eV per atom
final energy = -6.121 eV/atom
energy above the lowest structure with this stoichiometry = 0.000 eV/atom


Record 2
Here is an optimized crystal structure of TeCl3 from Alexandria. Energies are from PBE-GGA.

a = 5.260 Å, b = 5.260 Å, c = 5.260 Å
α = 128.72°, β = 128.72°, γ = 75.47°
Atoms (fractional coordinates):
Te  0.000  0.000  0.000
Cl  0.250  0.750  0.500
Cl  0.500  0.500  0.000
Cl  0.750  0.250  0.500

Values from the calculation:
SG = I4/mmm, No. 139
density of states at the Fermi level = 3.74 states/eV per cell
raw formation energy = 0.23 eV per atom
final energy = -1.945 eV/atom
energy above the lowest structure with this stoichiometry = 0.645 eV/atom


Record 3
Here is an optimized crystal structure of Ti6ZnCo2 from Alexandria. Energies are from PBE-GGA.

a = 7.145 Å, b = 7.145 Å, c = 7.145 Å
α = 111.90°, β = 110.50°, γ = 106.07°
Atoms (fractional coordinates):
Ti  0.032  0.819  0.214
Ti  0.238  0.529  0.291
Ti  0.238  0.947  0.709
Ti  0.287  0.313  0.601
Ti  0.287  0.687  0.974
Ti  0.395  0.181  0.214
Ti  0.605  0.819  0.786
Ti  0.713  0.313  0.026
Ti  0.713  0.687  0.399
Ti  0.762  0.053  0.291
Ti  0.762  0.471  0.709
Ti  0.968  0.181  0.786
Zn  0.000  0.500  0.500
Zn  0.500  0.000  0.500
Co  0.000  0.155  0.155
Co  0.000  0.845  0.845
Co  0.360  0.360  0.000
Co  0.640  0.640  0.000

Values from the calculation:
formation energy = -0.17 eV per atom
SG = Immm, No. 71
density of states at the Fermi level = 23.09 states/eV per cell
final energy = -7.156 eV/atom


Record 4
Here is an optimized crystal structure of Re3Se from Alexandria. Energies are from PBE-GGA.

a = 2.973 Å, b = 2.973 Å, c = 6.773 Å
α = 90.00°, β = 90.00°, γ = 90.00°
Atoms (fractional coordinates):
Re  0.000  0.000  0.000
Re  0.500  0.500  0.257
Re  0.500  0.500  0.743
Se  0.000  0.000  0.500

Values from the calculation:
SG = P4/mmm, No. 123
density of states at the Fermi level = 2.69 states/eV per cell
raw formation energy = 0.31 eV per atom
final energy = -9.900 eV/atom
energy above the lowest structure with this stoichiometry = 0.001 eV/atom